Run one
# YZr2Sc

YZr2Sc at its PBEsol-relaxed geometry (SCAN, Alexandria via LeMat-Bulk).

a = 10.602 Å, b = 3.201 Å, c = 5.743 Å
α = 90.00°, β = 98.88°, γ = 90.00°
Space group Cm (No. 8)
Inequivalent atoms, fractional coordinates:
Y (0.000, 0.000, 0.000) (multiplicity 2)
Zr (0.001, 0.500, 0.507) (multiplicity 2)
Zr (0.246, 0.000, 0.728) (multiplicity 2)
Sc (0.256, 0.500, 0.266) (multiplicity 2)

---

Run two
# YZr2Sc

YZr2Sc at its PBEsol-relaxed geometry (SCAN, Alexandria via LeMat-Bulk).

a = 7.241 Å, b = 7.241 Å, c = 7.241 Å
α = 90.00°, β = 90.00°, γ = 90.00°
Space group F-43m (No. 216)
Inequivalent atoms, fractional coordinates:
Y (0.000, 0.000, 0.000) (multiplicity 4)
Zr (0.000, 0.000, 0.500) (multiplicity 4)
Zr (0.250, 0.250, 0.250) (multiplicity 4)
Sc (0.250, 0.250, 0.750) (multiplicity 4)

---

The structure with the greatest stability is run one.

---

Run one
# YZrSc2

YZrSc2 at its PBEsol-relaxed geometry (SCAN, Alexandria via LeMat-Bulk).

a = 3.301 Å, b = 4.398 Å, c = 6.757 Å
α = 90.00°, β = 90.00°, γ = 90.00°
Space group Pmmm (No. 47)
Inequivalent atoms, fractional coordinates:
Y (0.000, 0.000, 0.000) (multiplicity 1)
Zr (0.000, 0.000, 0.500) (multiplicity 1)
Sc (0.500, 0.500, 0.274) (multiplicity 2)

---

Run two
# YZrSc2

YZrSc2 at its PBEsol-relaxed geometry (SCAN, Alexandria via LeMat-Bulk).

a = 3.2633 Å, b = 3.2633 Å, c = 31.8988 Å
α = 90.00°, β = 90.00°, γ = 120.00°
Space group R-3m (No. 166, hexagonal axes)
Inequivalent atoms, fractional coordinates:
Y (0.0000, 0.0000, 0.0000) (multiplicity 3)
Zr (0.0000, 0.0000, 0.5000) (multiplicity 3)
Sc (0.0000, 0.0000, 0.2449) (multiplicity 6)

---

Run three
# YZrSc2

YZrSc2 at its PBEsol-relaxed geometry (SCAN, Alexandria via LeMat-Bulk).

a = 10.752 Å, b = 3.236 Å, c = 5.681 Å
α = 90.00°, β = 99.36°, γ = 90.00°
Space group Cm (No. 8)
Inequivalent atoms, fractional coordinates:
Y (0.000, 0.000, 0.000) (multiplicity 2)
Zr (0.252, 0.500, 0.254) (multiplicity 2)
Sc (0.246, 0.000, 0.735) (multiplicity 2)
Sc (0.497, 0.000, 0.487) (multiplicity 2)

---

The structure with the greatest stability is run one.

---

Run one
# YZrSc2

YZrSc2 at its PBEsol-relaxed geometry (SCAN, Alexandria via LeMat-Bulk).

a = 5.021 Å, b = 3.213 Å, c = 12.148 Å
α = 90.00°, β = 90.00°, γ = 90.00°
Space group Amm2 (No. 38)
Inequivalent atoms, fractional coordinates:
Y (0.000, 0.000, 0.000) (multiplicity 2)
Zr (0.500, 0.000, 0.344) (multiplicity 2)
Sc (0.000, 0.000, 0.745) (multiplicity 2)
Sc (0.500, 0.000, 0.617) (multiplicity 2)

---

Run two
# YZrSc2

YZrSc2 at its PBEsol-relaxed geometry (SCAN, Alexandria via LeMat-Bulk).

a = 4.622 Å, b = 4.622 Å, c = 4.550 Å
α = 90.00°, β = 90.00°, γ = 90.00°
Space group P4/mmm (No. 123)
Inequivalent atoms, fractional coordinates:
Y (0.000, 0.000, 0.000) (multiplicity 1)
Zr (0.500, 0.500, 0.000) (multiplicity 1)
Sc (0.000, 0.500, 0.500) (multiplicity 2)

---

Run three
# YZrSc2

YZrSc2 at its PBEsol-relaxed geometry (SCAN, Alexandria via LeMat-Bulk).

a = 6.533 Å, b = 9.153 Å, c = 3.249 Å
α = 90.00°, β = 90.00°, γ = 90.00°
Space group Cmmm (No. 65)
Inequivalent atoms, fractional coordinates:
Y (0.000, 0.000, 0.000) (multiplicity 2)
Zr (0.000, 0.500, 0.000) (multiplicity 2)
Sc (0.250, 0.250, 0.500) (multiplicity 4)

---

Run four
# YZrSc2

YZrSc2 at its PBEsol-relaxed geometry (SCAN, Alexandria via LeMat-Bulk).

a = 4.635 Å, b = 4.635 Å, c = 9.056 Å
α = 90.00°, β = 90.00°, γ = 90.00°
Space group I4/mmm (No. 139)
Inequivalent atoms, fractional coordinates:
Y (0.000, 0.000, 0.000) (multiplicity 2)
Zr (0.000, 0.000, 0.500) (multiplicity 2)
Sc (0.000, 0.500, 0.250) (multiplicity 4)

---

The structure with the greatest stability is run one.

---

Run one
# ZrSc3

ZrSc3 at its PBEsol-relaxed geometry (SCAN, Alexandria via LeMat-Bulk).

a = 3.227 Å, b = 5.048 Å, c = 5.648 Å
α = 90.00°, β = 90.00°, γ = 90.00°
Space group Pmm2 (No. 25)
Inequivalent atoms, fractional coordinates:
Zr (0.000, 0.000, 0.000) (multiplicity 1)
Sc (0.000, 0.500, 0.673) (multiplicity 1)
Sc (0.500, 0.000, 0.494) (multiplicity 1)
Sc (0.500, 0.500, 0.162) (multiplicity 1)

---

Run two
# ZrSc3

ZrSc3 at its PBEsol-relaxed geometry (SCAN, Alexandria via LeMat-Bulk).

a = 4.495 Å, b = 4.495 Å, c = 4.495 Å
α = 90.00°, β = 90.00°, γ = 90.00°
Space group Pm-3m (No. 221)
Inequivalent atoms, fractional coordinates:
Zr (0.000, 0.000, 0.000) (multiplicity 1)
Sc (0.000, 0.500, 0.500) (multiplicity 3)

---

Run three
# ZrSc3

ZrSc3 at its PBEsol-relaxed geometry (SCAN, Alexandria via LeMat-Bulk).

a = 3.176 Å, b = 3.176 Å, c = 9.090 Å
α = 90.00°, β = 90.00°, γ = 90.00°
Space group P4/mmm (No. 123)
Inequivalent atoms, fractional coordinates:
Zr (0.000, 0.000, 0.000) (multiplicity 1)
Sc (0.000, 0.000, 0.500) (multiplicity 1)
Sc (0.500, 0.500, 0.242) (multiplicity 2)

---

The structure with the greatest stability is run one.

---

Run one
# Se

Se at its PBEsol-relaxed geometry (SCAN, Alexandria via LeMat-Bulk).

a = 10.6821 Å, b = 10.6821 Å, c = 4.5453 Å
α = 90.00°, β = 90.00°, γ = 120.00°
Space group R-3 (No. 148, hexagonal axes)
Inequivalent atoms, fractional coordinates:
Se (0.0408, 0.2181, 0.1282) (multiplicity 18)

---

Run two
# Se

Se at its PBEsol-relaxed geometry (SCAN, Alexandria via LeMat-Bulk).

a = 3.724 Å, b = 2.729 Å, c = 5.133 Å
α = 90.00°, β = 111.06°, γ = 90.00°
Space group P2/m (No. 10)
Inequivalent atoms, fractional coordinates:
Se (0.125, 0.000, 0.249) (multiplicity 2)

---

Run three
# Se

Se at its PBEsol-relaxed geometry (SCAN, Alexandria via LeMat-Bulk).

a = 7.186 Å, b = 3.736 Å, c = 5.172 Å
α = 90.00°, β = 90.63°, γ = 90.00°
Space group C2/m (No. 12)
Inequivalent atoms, fractional coordinates:
Se (0.000, 0.000, 0.000) (multiplicity 2)
Se (0.119, 0.500, 0.668) (multiplicity 4)

---

Run four
# Se

Se at its PBEsol-relaxed geometry (SCAN, Alexandria via LeMat-Bulk).

a = 4.251 Å, b = 4.251 Å, c = 4.251 Å
α = 90.00°, β = 90.00°, γ = 90.00°
Space group Fm-3m (No. 225)
Inequivalent atoms, fractional coordinates:
Se (0.000, 0.000, 0.000) (multiplicity 4)

---

The structure with the greatest stability is run one.

---

Run one
# Se

Se at its PBEsol-relaxed geometry (SCAN, Alexandria via LeMat-Bulk).

a = 4.0216 Å, b = 4.0216 Å, c = 5.1350 Å
α = 90.00°, β = 90.00°, γ = 120.00°
Space group P3_121 (No. 152)
Inequivalent atoms, fractional coordinates:
Se (0.0000, 0.7494, 0.1667) (multiplicity 3)

---

Run two
# Se

Se at its PBEsol-relaxed geometry (SCAN, Alexandria via LeMat-Bulk).

a = 9.429 Å, b = 9.429 Å, c = 4.403 Å
α = 90.00°, β = 90.00°, γ = 90.00°
Space group P4mm (No. 99)
Inequivalent atoms, fractional coordinates:
Se (0.000, 0.285, 0.000) (multiplicity 4)
Se (0.201, 0.201, 0.745) (multiplicity 4)

---

The structure with the greatest stability is run one.

---

Run one
# TaSi3Se

TaSi3Se at its PBEsol-relaxed geometry (SCAN, Alexandria via LeMat-Bulk).

a = 4.873 Å, b = 4.873 Å, c = 4.873 Å
α = 90.00°, β = 90.00°, γ = 90.00°
Space group Pm-3m (No. 221)
Inequivalent atoms, fractional coordinates:
Ta (0.000, 0.000, 0.000) (multiplicity 1)
Si (0.000, 0.000, 0.500) (multiplicity 3)
Se (0.500, 0.500, 0.500) (multiplicity 1)

---

Run two
# TaSi3Se

TaSi3Se at its PBEsol-relaxed geometry (SCAN, Alexandria via LeMat-Bulk).

a = 4.581 Å, b = 4.581 Å, c = 4.581 Å
α = 90.00°, β = 90.00°, γ = 90.00°
Space group Pm-3m (No. 221)
Inequivalent atoms, fractional coordinates:
Ta (0.000, 0.000, 0.000) (multiplicity 1)
Si (0.000, 0.500, 0.500) (multiplicity 3)
Se (0.500, 0.500, 0.500) (multiplicity 1)

---

The structure with the greatest stability is run one.

---

Run one
# Ta2SiSe

Ta2SiSe at its PBEsol-relaxed geometry (SCAN, Alexandria via LeMat-Bulk).

a = 9.165 Å, b = 3.198 Å, c = 4.543 Å
α = 90.00°, β = 104.10°, γ = 90.00°
Space group Cm (No. 8)
Inequivalent atoms, fractional coordinates:
Ta (0.000, 0.000, 0.000) (multiplicity 2)
Ta (0.225, 0.000, 0.622) (multiplicity 2)
Si (0.495, 0.000, 0.504) (multiplicity 2)
Se (0.236, 0.500, 0.131) (multiplicity 2)

---

Run two
# Ta2SiSe

Ta2SiSe at its PBEsol-relaxed geometry (SCAN, Alexandria via LeMat-Bulk).

a = 6.331 Å, b = 6.331 Å, c = 6.331 Å
α = 90.00°, β = 90.00°, γ = 90.00°
Space group Fm-3m (No. 225)
Inequivalent atoms, fractional coordinates:
Ta (0.250, 0.250, 0.250) (multiplicity 8)
Si (0.000, 0.000, 0.000) (multiplicity 4)
Se (0.000, 0.000, 0.500) (multiplicity 4)

---

Run three
# Ta2SiSe

Ta2SiSe at its PBEsol-relaxed geometry (SCAN, Alexandria via LeMat-Bulk).

a = 3.884 Å, b = 3.884 Å, c = 8.651 Å
α = 90.00°, β = 90.00°, γ = 90.00°
Space group I-4m2 (No. 119)
Inequivalent atoms, fractional coordinates:
Ta (0.000, 0.000, 0.000) (multiplicity 2)
Ta (0.000, 0.500, 0.250) (multiplicity 2)
Si (0.000, 0.500, 0.750) (multiplicity 2)
Se (0.000, 0.000, 0.500) (multiplicity 2)

---

The structure with the greatest stability is run one.

---

Run one
# SiTc2Se

SiTc2Se at its PBEsol-relaxed geometry (SCAN, Alexandria via LeMat-Bulk).

a = 5.410 Å, b = 5.410 Å, c = 10.729 Å
α = 90.00°, β = 90.00°, γ = 90.00°
Space group I-42d (No. 122)
Inequivalent atoms, fractional coordinates:
Si (0.000, 0.000, 0.000) (multiplicity 4)
Tc (0.246, 0.250, 0.125) (multiplicity 8)
Se (0.000, 0.000, 0.500) (multiplicity 4)

---

Run two
# SiTc2Se

SiTc2Se at its PBEsol-relaxed geometry (SCAN, Alexandria via LeMat-Bulk).

a = 2.966 Å, b = 4.462 Å, c = 4.250 Å
α = 90.00°, β = 90.00°, γ = 90.00°
Space group Pmm2 (No. 25)
Inequivalent atoms, fractional coordinates:
Si (0.000, 0.000, 0.000) (multiplicity 1)
Tc (0.000, 0.500, 0.728) (multiplicity 1)
Tc (0.500, 0.000, 0.513) (multiplicity 1)
Se (0.500, 0.500, 0.230) (multiplicity 1)

---

The structure with the greatest stability is run two.

---

Run one
# SiTcSe

SiTcSe at its PBEsol-relaxed geometry (SCAN, Alexandria via LeMat-Bulk).

a = 5.856 Å, b = 5.856 Å, c = 5.856 Å
α = 90.00°, β = 90.00°, γ = 90.00°
Space group F-43m (No. 216)
Inequivalent atoms, fractional coordinates:
Si (0.000, 0.000, 0.000) (multiplicity 4)
Tc (0.250, 0.250, 0.750) (multiplicity 4)
Se (0.250, 0.250, 0.250) (multiplicity 4)

---

Run two
# SiTcSe

SiTcSe at its PBEsol-relaxed geometry (SCAN, Alexandria via LeMat-Bulk).

a = 4.2269 Å, b = 4.2269 Å, c = 2.9420 Å
α = 90.00°, β = 90.00°, γ = 120.00°
Space group P-6m2 (No. 187)
Inequivalent atoms, fractional coordinates:
Si (0.0000, 0.0000, 0.0000) (multiplicity 1)
Tc (0.3333, 0.6667, 0.5000) (multiplicity 1)
Se (0.6667, 0.3333, 0.5000) (multiplicity 1)

---

The structure with the greatest stability is run two.

---

Run one
# SiW2Se

SiW2Se at its PBEsol-relaxed geometry (SCAN, Alexandria via LeMat-Bulk).

a = 2.9156 Å, b = 2.9156 Å, c = 24.5605 Å
α = 90.00°, β = 90.00°, γ = 120.00°
Space group R-3m (No. 166, hexagonal axes)
Inequivalent atoms, fractional coordinates:
Si (0.0000, 0.0000, 0.0000) (multiplicity 3)
W (0.0000, 0.0000, 0.2497) (multiplicity 6)
Se (0.0000, 0.0000, 0.5000) (multiplicity 3)

---

Run two
# SiW2Se

SiW2Se at its PBEsol-relaxed geometry (SCAN, Alexandria via LeMat-Bulk).

a = 4.361 Å, b = 4.361 Å, c = 3.049 Å
α = 90.00°, β = 90.00°, γ = 90.00°
Space group P4/mmm (No. 123)
Inequivalent atoms, fractional coordinates:
Si (0.000, 0.000, 0.000) (multiplicity 1)
W (0.000, 0.500, 0.500) (multiplicity 2)
Se (0.500, 0.500, 0.000) (multiplicity 1)

---

Run three
# SiW2Se

SiW2Se at its PBEsol-relaxed geometry (SCAN, Alexandria via LeMat-Bulk).

a = 3.0537 Å, b = 3.0537 Å, c = 23.5340 Å
α = 90.00°, β = 90.00°, γ = 120.00°
Space group R3m (No. 160, hexagonal axes)
Inequivalent atoms, fractional coordinates:
Si (0.0000, 0.0000, 0.0000) (multiplicity 3)
W (0.0000, 0.0000, 0.4995) (multiplicity 3)
W (0.0000, 0.0000, 0.7427) (multiplicity 3)
Se (0.0000, 0.0000, 0.2438) (multiplicity 3)

---

The structure with the greatest stability is run three.